Entry from Alexandria: a relaxed structure of FeRu2Cl (GGA-PBE).

a b c (Å): 2.852 3.918 5.212
angles (deg): 90.00 105.35 90.00
Fractional coordinates of all 4 atoms:
Fe (0.000, 0.000, 0.000)
Ru (0.355, 0.500, 0.743)
Ru (0.645, 0.500, 0.257)
Cl (0.000, 0.000, 0.500)

Values from the calculation:
energy relative to the lowest polymorph listed for this composition: 0.312 eV per atom
formation energy without anion corrections: 238 kJ/mol of formula units
DOS(E_F): 4.24 states/eV/cell
M_tot: 3.09 Bohr magnetons per cell

Entry from Alexandria: a relaxed structure of SrPuTcN4 (GGA-PBE).

a b c (Å): 5.946 5.782 7.082
angles (deg): 90.00 106.61 90.00
Fractional coordinates of all 14 atoms:
Sr (0.213, 0.250, 0.425)
Sr (0.787, 0.750, 0.575)
Pu (0.294, 0.250, 0.949)
Pu (0.706, 0.750, 0.051)
Tc (0.246, 0.750, 0.176)
Tc (0.754, 0.250, 0.824)
N (0.046, 0.750, 0.931)
N (0.050, 0.750, 0.336)
N (0.454, 0.504, 0.207)
N (0.454, 0.996, 0.207)
N (0.546, 0.004, 0.793)
N (0.546, 0.496, 0.793)
N (0.950, 0.250, 0.664)
N (0.954, 0.250, 0.069)

Values from the calculation:
formation energy without anion corrections: -424 kJ/mol of formula units
DOS(E_F): 15.44 states/eV/cell
M_tot: 10.01 Bohr magnetons per cell